First-principles (PBE) data for SmGdAgRu after structural relaxation, as listed in Alexandria via LeMat-Bulk.

Computed properties:
The density of states at the Fermi level is 2.9 states/eV/f.u. As for the space-group type: F-43m (216). The magnetization comes out at 1.797 μB/atom. The value obtained for the total energy is -32.009 eV for the cell shown. The formation energy comes out at -271 meV/atom.

```
SmGdAgRu
1.0
5.0354 0.0000 0.0000
2.5177 4.3608 0.0000
2.5177 1.4536 4.1114
Sm Ag Gd Ru
1 1 1 1
Direct
0.0000 0.0000 0.0000
0.2500 0.2500 0.2500
0.5000 0.5000 0.5000
0.7500 0.7500 0.7500
```